An optimized crystal structure of CeThPb2. Source: Alexandria, functional GGA-PBE.

The space group is P4/mmm (No. 123) and the conventional cell measures 3.613, 3.613 and 9.181 Å, with angles of 90.00, 90.00 and 90.00 degrees. The distinct sites, in fractional coordinates, are Ce at (0.000, 0.000, 0.000), Th at (0.000, 0.000, 0.500) and Pb at (0.500, 0.500, 0.248).

Its formation energy is -0.345 eV/atom. The calculation puts the offset from the most stable computed form at 0.0000 eV/atom. The density of states at the Fermi level is 1.851 states/eV/atom.


An optimized crystal structure of CeTiPb2. Source: Alexandria, functional GGA-PBE.

The space group is P4/mmm (No. 123) and the conventional cell measures 4.813, 4.813 and 4.512 Å, with angles of 90.00, 90.00 and 90.00 degrees. The distinct sites, in fractional coordinates, are Ce at (0.000, 0.000, 0.000), Ti at (0.500, 0.500, 0.000) and Pb at (0.000, 0.500, 0.500).

Its formation energy is -0.086 eV/atom. The calculation puts the offset from the most stable computed form at 0.0147 eV/atom. The density of states at the Fermi level is 1.906 states/eV/atom.


An optimized crystal structure of CeTiPb2. Source: Alexandria, functional GGA-PBE.

The space group is R-3m (No. 166, hexagonal axes) and the conventional cell measures 4.8471, 4.8471 and 15.7919 Å, with angles of 90.00, 90.00 and 120.00 degrees. The distinct sites, in fractional coordinates, are Ce at (0.0000, 0.0000, 0.0000), Ti at (0.0000, 0.0000, 0.5000) and Pb at (0.0000, 0.0000, 0.2344).

Its formation energy is -0.101 eV/atom. The calculation puts the offset from the most stable computed form at 0.0000 eV/atom. The density of states at the Fermi level is 2.142 states/eV/atom.


An optimized crystal structure of CeTi2Pb. Source: Alexandria, functional GGA-PBE.

The space group is P4/mmm (No. 123) and the conventional cell measures 4.654, 4.654 and 3.903 Å, with angles of 90.00, 90.00 and 90.00 degrees. The distinct sites, in fractional coordinates, are Ce at (0.000, 0.000, 0.000), Ti at (0.000, 0.500, 0.500) and Pb at (0.500, 0.500, 0.000).

Its formation energy is -0.004 eV/atom. The calculation puts the offset from the most stable computed form at 0.0000 eV/atom. The density of states at the Fermi level is 1.801 states/eV/atom.


An optimized crystal structure of CeTiPb2. Source: Alexandria, functional GGA-PBE.

The space group is P4/mmm (No. 123) and the conventional cell measures 3.798, 3.798 and 7.099 Å, with angles of 90.00, 90.00 and 90.00 degrees. The distinct sites, in fractional coordinates, are Ce at (0.000, 0.000, 0.000), Ti at (0.000, 0.000, 0.500) and Pb at (0.500, 0.500, 0.283).

Its formation energy is -0.090 eV/atom. The calculation puts the offset from the most stable computed form at 0.0109 eV/atom. The density of states at the Fermi level is 1.734 states/eV/atom.


An optimized crystal structure of CeTi2Pb. Source: Alexandria, functional GGA-PBE.

The space group is R-3m (No. 166, hexagonal axes) and the conventional cell measures 3.0953, 3.0953 and 31.5229 Å, with angles of 90.00, 90.00 and 120.00 degrees. The distinct sites, in fractional coordinates, are Ce at (0.0000, 0.0000, 0.0000), Ti at (0.0000, 0.0000, 0.0890) and Pb at (0.0000, 0.0000, 0.5000).

Its formation energy is 0.358 eV/atom. The calculation puts the offset from the most stable computed form at 0.3618 eV/atom. The density of states at the Fermi level is 1.440 states/eV/atom.